This record from Alexandria describes a relaxed MnFeGe2O6 crystal. The functional is PBE with a Hubbard U.

a b c (Å): 5.3305 6.8131 6.8131
angles (deg): 85.96 81.61 81.61
Sites, in units of the cell vectors:
O 0.4152 0.5799 0.7055
Ge 0.7867 0.2044 0.3903
O 0.9152 0.7055 0.5799
Fe 0.2500 0.9064 0.0936
Mn 0.2500 0.2765 0.7235
Ge 0.2867 0.3903 0.2044
O 0.1387 0.9731 0.7932
O 0.5848 0.4201 0.2945
O 0.6387 0.7932 0.9731
O 0.1288 0.6213 0.1397
O 0.8712 0.3787 0.8603
O 0.0848 0.2945 0.4201
Fe 0.7500 0.0936 0.9064
Mn 0.7500 0.7235 0.2765
O 0.8613 0.0269 0.2068
Ge 0.2133 0.7956 0.6097
O 0.3613 0.2068 0.0269
O 0.6288 0.1397 0.6213
O 0.3712 0.8603 0.3787
Ge 0.7133 0.6097 0.7956

## Properties
- VASP energy (Ry/atom) = -0.5043